A plane-wave DFT calculation with PBE was carried out for a relaxed structure of Pr3SnH.

Unit cell a=5.022 b=5.022 c=5.022 alpha=90.00 beta=90.00 gamma=90.00
Fractional positions:
H1 0.000 0.000 0.000
Pr1 0.000 0.000 0.500
Pr2 0.500 0.000 0.000
Pr3 0.000 0.500 0.000
Sn1 0.500 0.500 0.500

The value obtained for the energy is -4.84 eV/atom.